No. 1
# SrInRhSe2

A geometry-optimized SrInRhSe2 structure (PBE-GGA, Alexandria).

a = 5.8030 Å, b = 5.8030 Å, c = 5.2330 Å
α = 90.00°, β = 90.00°, γ = 90.00°
Last column: nearest neighbours and their distance in Å.
Sites, in units of the cell vectors:
Sr: 0.0000 0.0000 0.0000  2 Rh 2.62, 4 Se 2.90
In: 0.5000 0.5000 0.5000  8 Se 3.91, 4 Rh 4.10
Rh: 0.0000 0.0000 0.5000  2 Sr 2.62
Se: 0.0000 0.5000 0.0000  2 Sr 2.90
Se: 0.5000 0.0000 0.0000  2 Sr 2.90

Properties
E_form (uncorrected): 0.481 eV/atom
Total energy: -3.2675 eV per atom
ρ: 4.37 g/cm³
Symmetry: P4/mmm
Total moment: 2.0 μB/cell



No. 2
# K3Cd2

A geometry-optimized K3Cd2 structure (PBE-GGA, Alexandria).

a = 9.5410 Å, b = 9.5410 Å, c = 9.5410 Å
α = 51.46°, β = 51.46°, γ = 51.46°
Last column: nearest neighbours and their distance in Å.
Sites, in units of the cell vectors:
K: 0.1605 0.7500 0.3395  4 Cd 3.66-3.70
K: 0.2500 0.6605 0.8395  4 Cd 3.66-3.70
K: 0.3395 0.1605 0.7500  4 Cd 3.66-3.70
K: 0.6605 0.8395 0.2500  4 Cd 3.66-3.70
K: 0.7500 0.3395 0.1605  4 Cd 3.66-3.70
K: 0.8395 0.2500 0.6605  4 Cd 3.66-3.70
Cd: 0.1911 0.1911 0.1911  1 Cd 2.92
Cd: 0.3089 0.3089 0.3089  1 Cd 2.92
Cd: 0.6911 0.6911 0.6911  1 Cd 2.92
Cd: 0.8089 0.8089 0.8089  1 Cd 2.92

Properties
Total energy: -1.0193 eV per atom
ρ: 2.32 g/cm³
Symmetry: R-3c
Total moment: 0.0 μB/cell
ΔH_f (0 K): 0.12 kcal/mol of atoms
Energy relative to the lowest polymorph listed for this composition: 53 meV per atom



No. 3
# MnTlPtSe

A geometry-optimized MnTlPtSe structure (PBE-GGA, Alexandria).

a = 3.6520 Å, b = 5.1675 Å, c = 5.7133 Å
α = 87.60°, β = 71.56°, γ = 69.37°
Last column: nearest neighbours and their distance in Å.
Sites, in units of the cell vectors:
Mn: 0.0000 0.0000 0.0000  2 Se 2.51, 2 Pt 2.55
Tl: 0.8087 0.8778 0.5062  1 Pt 2.75, 1 Mn 2.85
Pt: 0.7104 0.6312 0.9460  2 Mn 2.55, 2 Se 2.59-2.60, 1 Tl 2.75
Se: 0.2647 0.3343 0.1386  2 Mn 2.51, 2 Pt 2.59-2.60

Properties
E_form (uncorrected): -0.044 eV/atom
Total energy: -5.3097 eV per atom
ρ: 9.28 g/cm³
Symmetry: P1
Total moment: 3.8 μB/cell
Energy relative to the lowest polymorph listed for this composition: 115 meV per atom



No. 4
# Rb2Mg

A geometry-optimized Rb2Mg structure (PBE-GGA, Alexandria).

a = 4.5112 Å, b = 21.9731 Å, c = 7.1036 Å
α = 90.00°, β = 90.00°, γ = 90.00°
Last column: nearest neighbours and their distance in Å.
Sites, in units of the cell vectors:
Rb: 0.0000 0.0543 0.2500  6 Rb 4.28-4.51, 6 Mg 4.28-4.39
Rb: 0.0000 0.2681 0.7500  4 Mg 4.12-4.43, 8 Rb 4.28-4.51
Rb: 0.0000 0.7319 0.2500  4 Mg 4.12-4.43, 8 Rb 4.28-4.51
Rb: 0.0000 0.9457 0.7500  6 Rb 4.28-4.51, 6 Mg 4.28-4.39
Rb: 0.5000 0.2319 0.2500  4 Mg 4.12-4.43, 8 Rb 4.28-4.51
Rb: 0.5000 0.4457 0.7500  6 Rb 4.28-4.51, 6 Mg 4.28-4.39
Rb: 0.5000 0.5543 0.2500  6 Rb 4.28-4.51, 6 Mg 4.28-4.39
Rb: 0.5000 0.7681 0.7500  4 Mg 4.12-4.43, 8 Rb 4.28-4.51
Mg: 0.0000 0.3887 0.2500  10 Rb 4.12-4.43, 2 Mg 4.51
Mg: 0.0000 0.6113 0.7500  10 Rb 4.12-4.43, 2 Mg 4.51
Mg: 0.5000 0.1113 0.7500  10 Rb 4.12-4.43, 2 Mg 4.51
Mg: 0.5000 0.8887 0.2500  10 Rb 4.12-4.43, 2 Mg 4.51

Properties
Total energy: -0.9516 eV per atom
ρ: 1.84 g/cm³
Symmetry: Cmcm
Total moment: 0.0 μB/cell
ΔH_f (0 K): 5.19 kcal/mol of atoms
Energy relative to the lowest polymorph listed for this composition: 66 meV per atom



No. 5
# SiAuCl2

A geometry-optimized SiAuCl2 structure (PBE-GGA, Alexandria).

a = 7.1694 Å, b = 7.3030 Å, c = 3.0817 Å
α = 90.00°, β = 90.00°, γ = 90.00°
Last column: nearest neighbours and their distance in Å.
Sites, in units of the cell vectors:
Si: 0.0000 0.0000 0.0000  8 Cl 2.99, 2 Si 3.08
Si: 0.5000 0.5000 0.0000  8 Cl 2.99, 2 Si 3.08
Au: 0.0000 0.5000 0.0000  8 Cl 2.99, 2 Au 3.08
Au: 0.5000 0.0000 0.0000  8 Cl 2.99, 2 Au 3.08
Cl: 0.2500 0.2500 0.5000  4 Si 2.99, 4 Au 2.99, 2 Cl 3.08
Cl: 0.2500 0.7500 0.5000  4 Si 2.99, 4 Au 2.99, 2 Cl 3.08
Cl: 0.7500 0.2500 0.5000  4 Si 2.99, 4 Au 2.99, 2 Cl 3.08
Cl: 0.7500 0.7500 0.5000  4 Si 2.99, 4 Au 2.99, 2 Cl 3.08

Properties
E_form (uncorrected): 0.412 eV/atom
Total energy: -2.6867 eV per atom
ρ: 6.09 g/cm³
Symmetry: Cmmm
Total moment: 0.0 μB/cell
Energy relative to the lowest polymorph listed for this composition: 810 meV per atom



No. 6
# CeTl2In

A geometry-optimized CeTl2In structure (PBE-GGA, Alexandria).

a = 3.9334 Å, b = 3.9334 Å, c = 7.3451 Å
α = 90.00°, β = 90.00°, γ = 90.00°
Last column: nearest neighbours and their distance in Å.
Sites, in units of the cell vectors:
Ce: 0.0000 0.0000 0.0000  8 Tl 3.41, 2 In 3.67
Tl: 0.5000 0.5000 0.2693  4 In 3.26, 1 Tl 3.39, 4 Ce 3.41
Tl: 0.5000 0.5000 0.7307  4 In 3.26, 1 Tl 3.39, 4 Ce 3.41
In: 0.0000 0.0000 0.5000  8 Tl 3.26

Properties
Total energy: -3.4494 eV per atom
ρ: 9.70 g/cm³
Symmetry: P4/mmm
Total moment: 1.7 μB/cell
ΔH_f (0 K): -2.26 kcal/mol of atoms